[1]
CrTcSCl2: relaxed, PBE-GGA.

For the volume, the calculation gives 108 Å³/f.u. The uncorrected formation energy comes out at 0.304 eV/atom. The final energy comes out at -26.29 eV for the cell shown. The value obtained for the total magnetic moment is 1.689 μB/atom. The value obtained for the energy above the most stable polymorph in this dataset is 83.7 meV/atom.

Cell: 4.678 4.678 4.924 Å, 90.00 90.00 90.00°
Each line ends with the local moment (μB).
Fractional positions:
Cl (0.000, 0.500, 0.000)  0.05
Cl (0.500, 0.000, 0.000)  0.05
S (0.000, 0.000, 0.500)  0.03
Cr (0.000, 0.000, 0.000)  3.32
Tc (0.500, 0.500, 0.500)  3.99

[2]
CrTcS2Cl: relaxed, PBE-GGA.

For the volume, the calculation gives 102 Å³/f.u. The uncorrected formation energy comes out at 0.877 eV/atom. The final energy comes out at -25.70 eV for the cell shown. The value obtained for the total magnetic moment is 0.002 μB/atom. The value obtained for the energy above the most stable polymorph in this dataset is 286.5 meV/atom.

Cell: 4.579 4.579 4.878 Å, 90.00 90.00 90.00°
Each line ends with the local moment (μB).
Fractional positions:
Cr (0.500, 0.500, 0.500)  0.36
Tc (0.000, 0.000, 0.000)  -0.30
Cl (0.000, 0.000, 0.500)  0.00
S (0.500, 0.000, 0.000)  -0.01
S (0.000, 0.500, 0.000)  -0.01

[3]
CrTcS2Cl: relaxed, PBE-GGA.

For the volume, the calculation gives 95 Å³/f.u. The uncorrected formation energy comes out at 0.591 eV/atom. The final energy comes out at -27.14 eV for the cell shown. The value obtained for the total magnetic moment is 0.923 μB/atom. The value obtained for the energy above the most stable polymorph in this dataset is 0.0 meV/atom.

Cell: 4.465 4.465 4.778 Å, 90.00 90.00 90.00°
Each line ends with the local moment (μB).
Fractional positions:
Tc (0.500, 0.500, 0.500)  3.79
S (0.500, 0.000, 0.000)  0.04
S (0.000, 0.500, 0.000)  0.04
Cl (0.000, 0.000, 0.500)  0.08
Cr (0.000, 0.000, 0.000)  0.08

[4]
CrTcSCl2: relaxed, PBE-GGA.

For the volume, the calculation gives 110 Å³/f.u. The uncorrected formation energy comes out at 0.220 eV/atom. The final energy comes out at -26.71 eV for the cell shown. The value obtained for the total magnetic moment is 0.881 μB/atom. The value obtained for the energy above the most stable polymorph in this dataset is 0.0 meV/atom.

Cell: 4.964 4.964 4.457 Å, 90.00 90.00 90.00°
Each line ends with the local moment (μB).
Fractional positions:
Cl (0.500, 0.000, 0.000)  -0.01
Cl (0.000, 0.500, 0.000)  -0.01
Cr (0.500, 0.500, 0.500)  4.33
Tc (0.000, 0.000, 0.000)  -0.40
S (0.000, 0.000, 0.500)  -0.01

[5]
CrTeSCl2: relaxed, PBE-GGA.

For the volume, the calculation gives 100 Å³/f.u. The uncorrected formation energy comes out at 0.080 eV/atom. The final energy comes out at -20.19 eV for the cell shown. The value obtained for the total magnetic moment is 0.038 μB/atom. The value obtained for the energy above the most stable polymorph in this dataset is 0.0 meV/atom.

Cell: 4.599 4.599 4.731 Å, 90.00 90.00 90.00°
Each line ends with the local moment (μB).
Fractional positions:
Te (0.500, 0.500, 0.500)  -0.09
S (0.000, 0.000, 0.500)  0.01
Cl (0.000, 0.500, 0.000)  -0.01
Cl (0.500, 0.000, 0.000)  -0.01
Cr (0.000, 0.000, 0.000)  -0.04

[6]
CrTeS2Cl: relaxed, PBE-GGA.

For the volume, the calculation gives 135 Å³/f.u. The uncorrected formation energy comes out at 0.535 eV/atom. The final energy comes out at -20.19 eV for the cell shown. The value obtained for the total magnetic moment is 0.942 μB/atom. The value obtained for the energy above the most stable polymorph in this dataset is 531.3 meV/atom.

Cell: 5.121 5.121 5.164 Å, 90.00 90.00 90.00°
Each line ends with the local moment (μB).
Fractional positions:
S (0.500, 0.000, 0.000)  -0.06
S (0.000, 0.500, 0.000)  -0.06
Cl (0.000, 0.000, 0.500)  0.01
Cr (0.500, 0.500, 0.500)  4.27
Te (0.000, 0.000, 0.000)  0.05